# 1
Here is a geometry-optimized MnZnMoAu2 structure from Alexandria. Energies are from GGA-PBEsol.

Cell: 4.610 4.610 4.650 Å, 90.00 90.00 90.00°
Each line ends with the local moment (μB).
Element x y z (fractional)
1 Au 0.500 0.000 0.000  0.04
2 Mo 0.000 0.000 0.500  -1.55
3 Au 0.000 0.500 0.000  0.04
4 Zn 0.000 0.000 0.000  -0.02
5 Mn 0.500 0.500 0.500  4.29

Computed properties:
Its space group is No. 123. As for the energy of formation from the pure elements: 1.223 eV/atom. As for the size of the total moment: 2.9 Bohr magnetons per cell.

=====

# 2
Here is a geometry-optimized MnAuN2 structure from Alexandria. Energies are from GGA-PBEsol.

Cell: 3.164 3.164 6.102 Å, 74.97 74.97 60.00°
Each line ends with the local moment (μB).
Element x y z (fractional)
1 Au 0.500 0.500 0.500  0.03
2 Mn 0.000 0.000 0.000  3.26
3 N 0.107 0.107 0.680  0.00
4 N 0.893 0.893 0.320  0.00

Computed properties:
Its space group is No. 166. The formation energy from raw total energies is 1026 meV per atom. As for the size of the total moment: 3.5 Bohr magnetons per cell.

=====

# 3
Here is a geometry-optimized MnAuN2 structure from Alexandria. Energies are from GGA-PBEsol.

Cell: 3.875 3.875 3.875 Å, 60.00 60.00 60.00°
Each line ends with the local moment (μB).
Element x y z (fractional)
1 N 0.250 0.250 0.250  -0.29
2 Mn 0.000 0.000 0.000  3.46
3 N 0.750 0.750 0.750  -0.29
4 Au 0.500 0.500 0.500  -0.07

Computed properties:
Its space group is No. 225. The formation energy from raw total energies is 1285 meV per atom. As for the size of the total moment: 2.8 Bohr magnetons per cell.

=====

# 4
Here is a geometry-optimized MnAuSe2N structure from Alexandria. Energies are from GGA-PBEsol.

Cell: 3.700 5.204 5.204 Å, 90.00 90.00 90.00°
Each line ends with the local moment (μB).
Element x y z (fractional)
1 Mn 0.500 0.500 0.500  4.45
2 Se 0.000 0.000 0.500  0.00
3 N 0.500 0.000 0.000  0.01
4 Au 0.000 0.000 0.000  0.01
5 Se 0.000 0.500 0.000  0.00

Computed properties:
Its space group is No. 123. The formation energy from raw total energies is 1029 meV per atom. As for the size of the total moment: 4.8 Bohr magnetons per cell.

=====

# 5
Here is a geometry-optimized MnAuSe2N structure from Alexandria. Energies are from GGA-PBEsol.

Cell: 3.392 4.844 4.844 Å, 90.00 90.00 90.00°
Each line ends with the local moment (μB).
Element x y z (fractional)
1 N 0.500 0.000 0.000  -0.13
2 Mn 0.000 0.000 0.000  0.96
3 Se 0.000 0.500 0.000  -0.05
4 Au 0.500 0.500 0.500  -0.04
5 Se 0.000 0.000 0.500  -0.05

Computed properties:
Its space group is No. 123. The formation energy from raw total energies is 273 meV per atom. As for the size of the total moment: 0.6 Bohr magnetons per cell.

=====

# 6
Here is a geometry-optimized MnNbOs2Au structure from Alexandria. Energies are from GGA-PBEsol.

Cell: 4.533 4.678 4.678 Å, 90.00 90.00 90.00°
Each line ends with the local moment (μB).
Element x y z (fractional)
1 Au 0.500 0.500 0.500  0.06
2 Os 0.000 0.500 0.000  0.56
3 Nb 0.000 0.000 0.000  -0.33
4 Mn 0.500 0.000 0.000  3.12
5 Os 0.000 0.000 0.500  0.56

Computed properties:
Its space group is No. 123. As for the energy of formation from the pure elements: 2.098 eV/atom. As for the size of the total moment: 4.1 Bohr magnetons per cell.

=====

# 7
Here is a geometry-optimized MnNi2Au structure from Alexandria. Energies are from GGA-PBEsol.

Cell: 3.741 3.741 4.460 Å, 114.79 114.79 90.00°
Each line ends with the local moment (μB).
Element x y z (fractional)
1 Mn 0.000 0.000 0.000  3.40
2 Ni 0.750 0.250 0.500  0.41
3 Ni 0.250 0.750 0.500  0.41
4 Au 0.500 0.500 0.000  0.06

Computed properties:
Its space group is No. 139. As for the energy of formation from the pure elements: 0.003 eV/atom. As for the size of the total moment: 4.3 Bohr magnetons per cell.

=====

# 8
Here is a geometry-optimized MnNiAu2 structure from Alexandria. Energies are from GGA-PBEsol.

Cell: 2.965 3.571 5.477 Å, 90.00 90.00 90.00°
Each line ends with the local moment (μB).
Element x y z (fractional)
1 Mn 0.500 0.500 0.000  3.75
2 Ni 0.500 0.500 0.500  0.21
3 Au 0.000 0.000 0.746  0.08
4 Au 0.000 0.000 0.254  0.08

Computed properties:
Its space group is No. 47. As for the energy of formation from the pure elements: 0.039 eV/atom. As for the size of the total moment: 4.2 Bohr magnetons per cell.

=====

# 9
Here is a geometry-optimized MnNiAu2 structure from Alexandria. Energies are from GGA-PBEsol.

Cell: 2.885 3.446 5.834 Å, 90.00 89.99 90.00°
Each line ends with the local moment (μB).
Element x y z (fractional)
1 Au 0.000 0.000 0.024  0.02
2 Ni 0.500 0.500 0.270  0.55
3 Mn 0.000 0.000 0.476  3.61
4 Au 0.500 0.500 0.730  0.08

Computed properties:
Its space group is No. 25. As for the energy of formation from the pure elements: 0.029 eV/atom. As for the size of the total moment: 4.4 Bohr magnetons per cell.

=====

# 10
Here is a geometry-optimized MnNi2Au structure from Alexandria. Energies are from GGA-PBEsol.

Cell: 2.722 3.493 5.345 Å, 90.00 90.00 90.00°
Each line ends with the local moment (μB).
Element x y z (fractional)
1 Mn 0.000 0.500 0.778  3.44
2 Au 0.500 0.000 0.493  0.07
3 Ni 0.500 0.000 0.003  0.55
4 Ni 0.000 0.500 0.226  0.44

Computed properties:
Its space group is No. 25. As for the energy of formation from the pure elements: 0.059 eV/atom. As for the size of the total moment: 4.6 Bohr magnetons per cell.

=====

# 11
Here is a geometry-optimized MnNi2Au structure from Alexandria. Energies are from GGA-PBEsol.

Cell: 2.760 3.290 5.533 Å, 90.00 90.00 90.00°
Each line ends with the local moment (μB).
Element x y z (fractional)
1 Au 0.500 0.500 0.000  0.01
2 Ni 0.000 0.000 0.725  0.44
3 Ni 0.000 0.000 0.275  0.44
4 Mn 0.500 0.500 0.500  3.21

Computed properties:
Its space group is No. 47. As for the energy of formation from the pure elements: 0.029 eV/atom. As for the size of the total moment: 4.1 Bohr magnetons per cell.

=====

# 12
Here is a geometry-optimized MnNiAu2 structure from Alexandria. Energies are from GGA-PBEsol.

Cell: 3.875 3.875 4.718 Å, 114.24 114.24 90.00°
Each line ends with the local moment (μB).
Element x y z (fractional)
1 Au 0.750 0.250 0.500  0.08
2 Mn 0.000 0.000 0.000  3.73
3 Ni 0.500 0.500 0.000  0.32
4 Au 0.250 0.750 0.500  0.08

Computed properties:
Its space group is No. 139. As for the energy of formation from the pure elements: 0.011 eV/atom. As for the size of the total moment: 4.3 Bohr magnetons per cell.

=====

# 13
Here is a geometry-optimized MnNiAu2 structure from Alexandria. Energies are from GGA-PBEsol.

Cell: 3.825 3.825 4.778 Å, 113.60 113.60 90.00°
Each line ends with the local moment (μB).
Element x y z (fractional)
1 Ni 0.250 0.750 0.500  0.35
2 Mn 0.500 0.500 0.000  3.70
3 Au 0.000 0.000 0.000  0.05
4 Au 0.750 0.250 0.500  0.05

Computed properties:
Its space group is No. 119. As for the energy of formation from the pure elements: -0.010 eV/atom. As for the size of the total moment: 4.2 Bohr magnetons per cell.

=====

# 14
Here is a geometry-optimized MnNi2Au structure from Alexandria. Energies are from GGA-PBEsol.

Cell: 3.658 3.658 4.561 Å, 113.64 113.64 90.00°
Each line ends with the local moment (μB).
Element x y z (fractional)
1 Au 0.000 0.000 0.000  0.07
2 Mn 0.250 0.750 0.500  3.42
3 Ni 0.500 0.500 0.000  0.41
4 Ni 0.750 0.250 0.500  0.41

Computed properties:
Its space group is No. 119. As for the energy of formation from the pure elements: 0.007 eV/atom. As for the size of the total moment: 4.3 Bohr magnetons per cell.

=====

no.,mass density (g/cm3)
1,10.26
2,9.21
3,11.30
4,7.03
5,8.84
6,12.14
7,12.20
8,14.53
9,14.53
10,12.07
11,12.20
12,14.62
13,14.62
14,12.20